No. 1
Computed, not measured: a relaxed GeAs2N crystal at the PBE level of DFT.

Summary:
The value obtained for the uncorrected formation energy is 1226.0 meV/atom. For the energy above the most stable polymorph in this dataset, the calculation gives 585.5 meV per atom.

Geometry as POSCAR:
```
GeAs2N
1.0
-2.540 -0.376 3.640
-3.990 -1.962 -0.262
-0.644 -3.994 1.863
As N Ge
2 1 1
Direct
0.750 0.750 0.750
0.250 0.250 0.250
0.000 0.000 0.000
0.500 0.500 0.500
```

No. 2
Computed, not measured: a relaxed NdHo2Mg9 crystal at the PBE level of DFT.

Summary:
For the formation energy, the calculation gives -0.049 eV per atom.

Geometry as POSCAR:
```
NdHo2Mg9
1.0
-0.304 -4.062 4.465
3.677 -4.797 -0.024
7.761 2.109 6.537
Ho Mg Nd
2 9 1
Direct
0.856 0.856 0.433
0.144 0.144 0.567
0.334 0.334 0.998
0.587 0.080 0.746
0.500 0.500 0.500
0.413 0.920 0.254
0.666 0.666 0.002
0.920 0.413 0.254
0.413 0.413 0.254
0.080 0.587 0.746
0.587 0.587 0.746
0.000 0.000 0.000
```

No. 3
Computed, not measured: a relaxed CaEuIr4 crystal at the PBE level of DFT.

Summary:
For the formation energy, the calculation gives -0.467 eV per atom.

Geometry as POSCAR:
```
CaEuIr4
1.0
5.395 0.000 0.000
2.698 4.672 0.000
2.698 1.557 4.405
Ir Ca Eu
4 1 1
Direct
0.126 0.625 0.625
0.625 0.126 0.625
0.625 0.625 0.625
0.625 0.625 0.126
0.250 0.250 0.250
0.000 0.000 0.000
```

No. 4
Computed, not measured: a relaxed Na2SrSn2 crystal at the PBE level of DFT.

Summary:
For the formation energy, the calculation gives -0.343 eV per atom. For the energy above the most stable polymorph in this dataset, the calculation gives 0.0 meV per atom.

Geometry as POSCAR:
```
Na2SrSn2
1.0
-3.410 2.996 -1.421
-2.766 -3.695 -1.150
-5.824 -0.347 5.284
Sr Sn Na
1 2 2
Direct
0.000 0.000 0.000
0.403 0.403 0.195
0.597 0.597 0.805
0.250 0.750 0.500
0.750 0.250 0.500
```

No. 5
Computed, not measured: a relaxed RbInPb3 crystal at the PBE level of DFT.

Summary:
For the formation energy, the calculation gives -0.085 eV per atom. For the energy above the most stable polymorph in this dataset, the calculation gives 0.0 meV per atom.

Geometry as POSCAR:
```
RbInPb3
1.0
-2.087 -3.757 2.891
3.591 -3.306 -1.719
4.917 -1.764 5.891
Pb In Rb
3 1 1
Direct
0.649 0.952 0.407
0.789 0.592 0.127
0.149 0.453 0.407
0.018 0.821 0.670
0.403 0.206 0.899
```

No. 6
Computed, not measured: a relaxed CsKPtCl6 crystal at the PBE level of DFT.

Summary:
The value obtained for the uncorrected formation energy is -1166.2 meV/atom.

Geometry as POSCAR:
```
CsKPtCl6
1.0
7.484 0.000 0.000
3.742 6.481 0.000
0.000 0.000 6.968
Cs Cl Pt K
1 6 1 1
Direct
0.000 0.000 0.000
0.588 0.077 0.303
0.077 0.335 0.303
0.077 0.588 0.697
0.335 0.588 0.303
0.588 0.335 0.697
0.335 0.077 0.697
0.333 0.333 0.500
0.667 0.667 0.500
```

No. 7
Computed, not measured: a relaxed Mg2MnFeGe2 crystal at the PBE level of DFT.

Summary:
For the formation energy, the calculation gives -0.200 eV per atom.

Geometry as POSCAR:
```
Mg2MnFeGe2
1.0
-3.004 4.525 0.114
-1.749 -1.287 4.980
7.406 1.654 0.072
Mn Ge Mg Fe
2 4 4 2
Direct
0.000 0.750 0.000
0.000 0.250 0.000
0.130 0.879 0.758
0.628 0.379 0.758
0.372 0.621 0.242
0.870 0.121 0.242
0.419 0.167 0.334
0.581 0.833 0.666
0.916 0.667 0.334
0.084 0.333 0.666
0.500 0.250 0.000
0.500 0.750 0.000
```

No. 8
Computed, not measured: a relaxed ScAs crystal at the PBE level of DFT.

Summary:
For the formation energy, the calculation gives -0.928 eV per atom.

Geometry as POSCAR:
```
ScAs
1.0
-1.845 1.005 2.902
-1.808 -3.092 -0.078
2.064 -1.251 1.746
As Sc
1 1
Direct
0.000 0.000 0.000
0.500 0.500 0.500
```

| no. | ρ (g/cm³) |
| --- | --- |
| 1 | 6.28 |
| 2 | 3.73 |
| 3 | 14.37 |
| 4 | 3.83 |
| 5 | 7.30 |
| 6 | 2.85 |
| 7 | 5.24 |
| 8 | 5.21 |